Here is BaGeH2Pb after structural relaxation from Alexandria via LeMat-Bulk. Energies are from PBE.

extended XYZ file:
```
5
Lattice="4.457 0.000 0.000 0.000 4.457 0.000 0.000 0.000 6.601" Properties=species:S:1:pos:R:3 pbc="T T T"
Ba 0.000 0.000 0.000
Ge 2.228 2.228 0.000
H 0.000 2.228 3.301
H 2.228 0.000 3.301
Pb 0.000 0.000 3.301
```

Summary:
**E_tot**: -2.77 eV per atom

---

Here is Pr2Y3Cd2 after structural relaxation from Alexandria via LeMat-Bulk. Energies are from PBE.

extended XYZ file:
```
7
Lattice="2.754 1.590 8.094 -2.754 1.590 8.094 0.000 -3.180 8.094" Properties=species:S:1:pos:R:3 pbc="T T T"
Pr 0.000 0.000 1.832
Pr 0.000 0.000 22.449
Y 0.000 0.000 8.352
Y 0.000 0.000 12.141
Y 0.000 0.000 15.929
Cd 0.000 0.000 5.184
Cd 0.000 0.000 19.097
```

Summary:
**E_tot**: -4.54 eV per atom
**Energy relative to the elements**: -0.145 eV/atom
**Distance to the lowest polymorph of the same formula**: 0 meV/atom

---

Here is ReRh after structural relaxation from Alexandria via LeMat-Bulk. Energies are from PBE.

extended XYZ file:
```
8
Lattice="8.032 0.000 0.000 0.000 8.032 0.000 0.000 0.000 2.610" Properties=species:S:1:pos:R:3 pbc="T T T"
Re 1.036 1.036 0.000
Re 2.980 5.052 1.305
Re 5.052 2.980 1.305
Re 6.996 6.996 0.000
Rh 1.390 6.642 0.000
Rh 2.626 2.626 1.305
Rh 5.406 5.406 1.305
Rh 6.642 1.390 0.000
```

Summary:
**E_tot**: -9.03 eV per atom
**Energy relative to the elements**: 0.872 eV/atom
**Distance to the lowest polymorph of the same formula**: 1049 meV/atom

---

Here is CrH after structural relaxation from Alexandria via LeMat-Bulk. Energies are from PBE.

extended XYZ file:
```
16
Lattice="4.427 0.000 0.000 0.000 4.716 0.000 0.000 0.000 5.380" Properties=species:S:1:pos:R:3 pbc="T T T"
Cr 0.033 0.874 2.073
Cr 0.063 0.775 4.667
Cr 2.150 3.940 1.977
Cr 2.180 3.842 4.763
Cr 2.247 1.484 3.308
Cr 2.277 1.582 0.713
Cr 4.364 3.133 3.404
Cr 4.394 3.232 0.618
H 0.600 1.688 0.657
H 1.080 0.075 3.344
H 1.133 4.640 0.654
H 1.614 3.028 3.347
H 2.813 0.670 4.723
H 3.294 2.282 2.037
H 3.347 2.433 4.727
H 3.828 4.046 2.033
```

Summary:
**E_tot**: -6.40 eV per atom

---

Here is La2InGa2 after structural relaxation from Alexandria via LeMat-Bulk. Energies are from PBE.

extended XYZ file:
```
10
Lattice="8.906 0.000 0.000 0.000 8.906 0.000 0.000 0.000 3.634" Properties=species:S:1:pos:R:3 pbc="T T T"
La 1.611 2.842 0.000
La 2.842 7.295 0.000
La 6.064 1.611 0.000
La 7.295 6.064 0.000
In 0.000 0.000 0.000
In 4.453 4.453 0.000
Ga 1.004 5.457 1.817
Ga 3.449 1.004 1.817
Ga 5.457 7.902 1.817
Ga 7.902 3.449 1.817
```

Summary:
**E_tot**: -4.03 eV per atom
**Energy relative to the elements**: -0.301 eV/atom
**Distance to the lowest polymorph of the same formula**: 320 meV/atom

---

Here is VCo3H after structural relaxation from Alexandria via LeMat-Bulk. Energies are from PBE.

extended XYZ file:
```
10
Lattice="2.657 0.000 0.000 -1.329 2.301 0.000 0.000 0.000 16.054" Properties=species:S:1:pos:R:3 pbc="T T T"
V 0.000 0.000 0.000
V 0.000 0.000 8.027
Co 0.000 0.000 4.013
Co 0.000 0.000 12.040
Co 0.000 1.534 1.976
Co 0.000 1.534 6.051
Co 1.329 0.767 10.003
Co 1.329 0.767 14.078
H 0.000 1.534 4.013
H 1.329 0.767 12.040
```

Summary:
**E_tot**: -6.62 eV per atom
**Distance to the lowest polymorph of the same formula**: 282 meV/atom